Computed, not measured: crystalline LiMgCr2 at its relaxed geometry at the PBE level of DFT.

Output
V = 56.8 Å³/f.u.
D(E_F) = 4.82 states/eV per cell
Formation energy = 2.68 eV per formula unit
SG = R-3m
Final energy = -5.0192 eV per atom

```
data_LiMgCr2
_chemical_formula_sum 'Li1 Mg1 Cr2'
_cell_length_a 9.651
_cell_length_b 9.651
_cell_length_c 9.651
_cell_angle_alpha 15.62
_cell_angle_beta 15.62
_cell_angle_gamma 15.62
_symmetry_space_group_name_H-M 'P 1'
_symmetry_Int_Tables_number 1
loop_
_symmetry_equiv_pos_as_xyz
'x,y,z'
loop_
_atom_site_label
_atom_site_fract_x
_atom_site_fract_y
_atom_site_fract_z
_atom_site_occupancy
Cr1 0.000 0.000 0.000 1
Cr2 0.500 0.500 0.500 1
Li1 0.750 0.750 0.750 1
Mg1 0.250 0.250 0.250 1
```